[1]
# ErTh5Os4

Crystalline ErTh5Os4 at its relaxed geometry (PBE, Alexandria via LeMat-Bulk).

The structure in POSCAR format:
```
ErTh5Os4
1.0
-1.912 1.954 3.731
-6.488 -2.056 -2.247
6.394 -6.428 3.775
Er Th Os
1 5 4
Cartesian
-0.956 0.977 1.866
-1.527 -4.005 4.183
1.772 -3.008 5.350
-3.778 -3.521 -0.091
-4.200 -0.051 0.742
-0.479 -2.525 1.077
-2.132 -5.106 1.582
-0.134 -5.707 5.788
0.126 -1.424 3.678
-1.872 -0.823 -0.528
```

Computed properties:
Space group: C2/m, No. 12
Calculated formation energy in eV per atom: -0.192
Fermi-level density of states in states/eV per cell: 6.8

***

[2]
# DyMg2Zr

Crystalline DyMg2Zr at its relaxed geometry (PBE, Alexandria via LeMat-Bulk).

The structure in POSCAR format:
```
DyMg2Zr
1.0
-0.925 -2.676 1.534
2.198 -2.154 0.947
1.374 3.639 10.557
Mg Zr Dy
2 1 1
Cartesian
1.976 -0.947 9.678
0.672 -0.244 3.360
1.324 -0.595 6.519
0.000 0.000 0.000
```

Computed properties:
Space group: R-3m, No. 166
Calculated formation energy in eV per atom: 0.097
Energy relative to the lowest polymorph listed for this composition in kcal/mol of atoms: 1.68
Fermi-level density of states in states/eV per cell: 4.2

***

Q: Which of these has the highest calculated formation energy?
A: DyMg2Zr

***

Q: The lowest calculated formation energy belongs to which entry?
A: ErTh5Os4

***

Repeat the first record exactly.
# ErTh5Os4

Crystalline ErTh5Os4 at its relaxed geometry (PBE, Alexandria via LeMat-Bulk).

The structure in POSCAR format:
```
ErTh5Os4
1.0
-1.912 1.954 3.731
-6.488 -2.056 -2.247
6.394 -6.428 3.775
Er Th Os
1 5 4
Cartesian
-0.956 0.977 1.866
-1.527 -4.005 4.183
1.772 -3.008 5.350
-3.778 -3.521 -0.091
-4.200 -0.051 0.742
-0.479 -2.525 1.077
-2.132 -5.106 1.582
-0.134 -5.707 5.788
0.126 -1.424 3.678
-1.872 -0.823 -0.528
```

Computed properties:
Space group: C2/m, No. 12
Calculated formation energy in eV per atom: -0.192
Fermi-level density of states in states/eV per cell: 6.8

***

Q: Look up the Fermi-level density of states of the second one.
A: 4.2 states/eV per cell